# RbCeCuI5

An optimized crystal structure of RbCeCuI5 (PBE-GGA, Alexandria).

## Properties
The raw formation energy is -8.524 eV/f.u. Its space group is C2/c.

Cell: 8.5139 8.5139 11.6284 Å, 104.29 104.29 105.67°
Last column: nearest neighbours and their distance in Å.
Sites, in units of the cell vectors:
I: 0.0904 0.9096 0.2500  2 Ce 3.16
I: 0.3237 0.9123 0.6266  1 Cu 2.63
I: 0.9096 0.0904 0.7500  2 Ce 3.16
Ce: 0.0000 0.0000 0.5000  6 I 3.16
I: 0.9123 0.3237 0.1266  1 Cu 2.63
I: 0.2340 0.3906 0.5710  1 Cu 2.66
I: 0.6094 0.7660 0.9290  1 Cu 2.66
Ce: 0.0000 0.0000 0.0000  6 I 3.16
Rb: 0.3613 0.6387 0.2500  5 I 3.67-3.70
Cu: 0.3094 0.6906 0.7500  4 I 2.63-2.66
I: 0.7660 0.6094 0.4290  1 Cu 2.66
I: 0.6763 0.0877 0.3734  1 Cu 2.63
I: 0.3906 0.2340 0.0710  1 Cu 2.66
Cu: 0.6906 0.3094 0.2500  4 I 2.63-2.66
I: 0.0877 0.6763 0.8734  1 Cu 2.63
Rb: 0.6387 0.3613 0.7500  5 I 3.67-3.70


# RbN3Cl

An optimized crystal structure of RbN3Cl (PBE-GGA, Alexandria).

## Properties
The raw formation energy is 13.491 eV/f.u. Its space group is Pm-3m.

Cell: 5.3229 5.3229 5.3229 Å, 90.00 90.00 90.00°
Last column: nearest neighbours and their distance in Å.
Sites, in units of the cell vectors:
N: 0.0000 0.0000 0.5000  2 Rb 2.66
Cl: 0.5000 0.5000 0.5000  12 N 3.76
Rb: 0.0000 0.0000 0.0000  6 N 2.66
N: 0.5000 0.0000 0.0000  2 Rb 2.66
N: 0.0000 0.5000 0.0000  2 Rb 2.66


# NiBr4N2

An optimized crystal structure of NiBr4N2 (PBE-GGA, Alexandria).

## Properties
The raw formation energy is 6.929 eV/f.u. Its space group is C2/m.

Cell: 3.3913 8.0999 6.7732 Å, 93.21 104.50 90.00°
Last column: nearest neighbours and their distance in Å.
Sites, in units of the cell vectors:
Br: 0.8712 0.3399 0.7425  2 N 1.94
Br: 0.3980 0.8802 0.7960  2 Ni 2.34
Ni: 0.0000 0.0000 0.0000  4 Br 2.34
N: 0.6992 0.6463 0.3985  2 Br 1.94
Br: 0.1288 0.6601 0.2575  2 N 1.94
Br: 0.6020 0.1198 0.2040  2 Ni 2.34
N: 0.3008 0.3537 0.6015  2 Br 1.94


# ErGa4Hg

An optimized crystal structure of ErGa4Hg (PBE-GGA, Alexandria).

## Properties
The value obtained for the formation energy is -0.183 eV per atom. Its space group is F-43m.

Cell: 5.5718 5.5718 5.5718 Å, 60.00 60.00 60.00°
Last column: nearest neighbours and their distance in Å.
Sites, in units of the cell vectors:
Ga: 0.1259 0.6247 0.6247  6 Ga 2.78-2.79
Ga: 0.6247 0.6247 0.6247  6 Ga 2.78-2.79
Ga: 0.6247 0.1259 0.6247  6 Ga 2.78-2.79
Er: 0.2500 0.2500 0.2500  12 Ga 3.27, 4 Hg 3.41
Hg: 0.0000 0.0000 0.0000  12 Ga 3.27, 4 Er 3.41
Ga: 0.6247 0.6247 0.1259  6 Ga 2.78-2.79


# SbPPb2

An optimized crystal structure of SbPPb2 (PBE-GGA, Alexandria).

## Properties
The raw formation energy is 0.618 eV/f.u. The value obtained for the excess energy over the best structure of this formula in the dataset is 0.038 eV per atom. Its space group is R-3m.

Cell: 8.0828 8.0828 8.0828 Å, 29.61 29.61 29.61°
Last column: nearest neighbours and their distance in Å.
Sites, in units of the cell vectors:
Sb: 0.5000 0.5000 0.5000  6 Pb 3.26
P: 0.0000 0.0000 0.0000  6 Pb 2.90
Pb: 0.2624 0.2624 0.2624  3 P 2.90
Pb: 0.7376 0.7376 0.7376  3 P 2.90


# SrCaSb2

An optimized crystal structure of SrCaSb2 (PBE-GGA, Alexandria).

## Properties
The raw formation energy is -3.242 eV/f.u. The value obtained for the excess energy over the best structure of this formula in the dataset is 0.013 eV per atom. Its space group is Cmmm.

Cell: 5.6942 5.6942 3.8868 Å, 90.00 90.00 99.93°
Last column: nearest neighbours and their distance in Å.
Sites, in units of the cell vectors:
Ca: 0.0000 0.5000 0.5000  8 Sb 3.45, 2 Sr 3.66
Sb: 0.0000 0.0000 0.0000  4 Sr 3.45, 4 Ca 3.45, 2 Sb 3.66
Sr: 0.5000 0.0000 0.5000  8 Sb 3.45, 2 Ca 3.66
Sb: 0.5000 0.5000 0.0000  4 Ca 3.45, 4 Sr 3.45, 2 Sb 3.66


# PmNdErZn

An optimized crystal structure of PmNdErZn (PBE-GGA, Alexandria).

## Properties
The value obtained for the formation energy is 0.021 eV per atom. The value obtained for the excess energy over the best structure of this formula in the dataset is 0.177 eV per atom. Its space group is F-43m.

Cell: 5.4228 5.4228 5.4228 Å, 60.00 60.00 60.00°
Last column: nearest neighbours and their distance in Å.
Sites, in units of the cell vectors:
Zn: 0.0000 0.0000 0.0000  4 Nd 3.32, 4 Pm 3.32
Er: 0.5000 0.5000 0.5000  4 Nd 3.32, 4 Pm 3.32
Pm: 0.7500 0.7500 0.7500  4 Er 3.32, 4 Zn 3.32
Nd: 0.2500 0.2500 0.2500  4 Er 3.32, 4 Zn 3.32


# LaFeAg2

An optimized crystal structure of LaFeAg2 (PBE-GGA, Alexandria).

## Properties
The value obtained for the formation energy is 0.236 eV per atom. Its space group is I-4m2.

Cell: 5.2346 5.2346 5.2346 Å, 128.75 128.75 75.41°
Last column: nearest neighbours and their distance in Å.
Sites, in units of the cell vectors:
Ag: 0.2500 0.7500 0.5000  4 Ag 3.07, 4 Fe 3.07, 4 La 3.20
La: 0.7500 0.2500 0.5000  8 Ag 3.07-3.20, 4 Fe 3.07
Fe: 0.5000 0.5000 0.0000  4 La 3.07, 8 Ag 3.07-3.20
Ag: 0.0000 0.0000 0.0000  4 Ag 3.07, 4 La 3.07, 4 Fe 3.20


# SmInGaAu

An optimized crystal structure of SmInGaAu (PBE-GGA, Alexandria).

## Properties
The value obtained for the formation energy is -0.540 eV per atom. Its space group is F-43m.

Cell: 5.0185 5.0185 5.0185 Å, 60.00 60.00 60.00°
Last column: nearest neighbours and their distance in Å.
Sites, in units of the cell vectors:
Au: 0.7500 0.7500 0.7500  4 Sm 3.07, 4 In 3.07
Ga: 0.2500 0.2500 0.2500  4 In 3.07, 4 Sm 3.07
In: 0.5000 0.5000 0.5000  4 Ga 3.07, 4 Au 3.07
Sm: 0.0000 0.0000 0.0000  4 Au 3.07, 4 Ga 3.07


# K2CrCuB

An optimized crystal structure of K2CrCuB (PBE-GGA, Alexandria).

## Properties
The value obtained for the formation energy is 1.006 eV per atom. Its space group is P4/mmm.

Cell: 6.2346 3.8474 6.2346 Å, 90.00 90.00 90.00°
Last column: nearest neighbours and their distance in Å.
Sites, in units of the cell vectors:
K: 0.0000 0.0000 0.5000  2 B 3.12
Cr: 0.5000 0.5000 0.5000  8 K 3.66, 2 Cr 3.85
B: 0.0000 0.0000 0.0000  2 Cu 1.92
Cu: 0.0000 0.5000 0.0000  2 B 1.92
K: 0.5000 0.0000 0.0000  2 B 3.12


# Nd2DyInN

An optimized crystal structure of Nd2DyInN (PBE-GGA, Alexandria).

## Properties
The raw formation energy is -4.493 eV/f.u. Its space group is P4/mmm.

Cell: 4.8223 5.0458 5.0458 Å, 90.00 90.00 90.00°
Last column: nearest neighbours and their distance in Å.
Sites, in units of the cell vectors:
Nd: 0.0000 0.5000 0.0000  2 N 2.52
Nd: 0.0000 0.0000 0.5000  2 N 2.52
N: 0.0000 0.0000 0.0000  2 Dy 2.41, 4 Nd 2.52
Dy: 0.5000 0.0000 0.0000  2 N 2.41
In: 0.5000 0.5000 0.5000  8 Nd 3.49, 4 Dy 3.57


# Ac3Si3Rh2

An optimized crystal structure of Ac3Si3Rh2 (PBE-GGA, Alexandria).

## Properties
The raw formation energy is -6.335 eV/f.u. The value obtained for the excess energy over the best structure of this formula in the dataset is 0.000 eV per atom. Its space group is Cmcm.

Cell: 4.2574 6.1628 16.0279 Å, 90.00 90.00 110.21°
Last column: nearest neighbours and their distance in Å.
Sites, in units of the cell vectors:
Ac: 0.8472 0.6944 0.4064  4 Rh 3.26-3.42, 7 Si 3.26-3.41
Rh: 0.8630 0.7259 0.8808  3 Si 2.50-2.60
Rh: 0.1370 0.2741 0.3808  3 Si 2.50-2.60
Si: 0.5708 0.1416 0.0532  1 Si 2.36, 2 Rh 2.50
Ac: 0.4382 0.8764 0.7500  4 Rh 3.11, 5 Si 3.16-3.38
Si: 0.7306 0.4611 0.7500  2 Rh 2.60
Si: 0.4292 0.8584 0.9468  1 Si 2.36, 2 Rh 2.50
Ac: 0.1528 0.3056 0.9064  4 Rh 3.26-3.42, 7 Si 3.26-3.41
Si: 0.4292 0.8584 0.5532  1 Si 2.36, 2 Rh 2.50
Ac: 0.1528 0.3056 0.5936  4 Rh 3.26-3.42, 7 Si 3.26-3.41
Si: 0.2694 0.5389 0.2500  2 Rh 2.60
Rh: 0.1370 0.2741 0.1192  3 Si 2.50-2.60
Ac: 0.8472 0.6944 0.0936  4 Rh 3.26-3.42, 7 Si 3.26-3.41
Si: 0.5708 0.1416 0.4468  1 Si 2.36, 2 Rh 2.50
Rh: 0.8630 0.7259 0.6192  3 Si 2.50-2.60
Ac: 0.5618 0.1236 0.2500  4 Rh 3.11, 5 Si 3.16-3.38


# HfBeAlAg2

An optimized crystal structure of HfBeAlAg2 (PBE-GGA, Alexandria).

## Properties
The value obtained for the formation energy is 0.298 eV per atom. Its space group is P4/mmm.

Cell: 4.3911 4.4484 4.3911 Å, 90.00 90.00 90.00°
Last column: nearest neighbours and their distance in Å.
Sites, in units of the cell vectors:
Be: 0.0000 0.0000 0.0000  4 Ag 2.20, 2 Al 2.22
Ag: 0.0000 0.0000 0.5000  2 Be 2.20
Hf: 0.5000 0.5000 0.5000  4 Al 3.11, 8 Ag 3.13
Ag: 0.5000 0.0000 0.0000  2 Be 2.20
Al: 0.0000 0.5000 0.0000  2 Be 2.22


# DyCuHg6

An optimized crystal structure of DyCuHg6 (PBE-GGA, Alexandria).

## Properties
The value obtained for the formation energy is 0.255 eV per atom. Its space group is R-3m.

Cell: 6.1326 6.1326 8.6364 Å, 69.20 69.20 60.00°
Last column: nearest neighbours and their distance in Å.
Sites, in units of the cell vectors:
Hg: 0.0676 0.5559 0.3089  5 Hg 2.99-3.14, 1 Dy 3.03
Dy: 0.0000 0.0000 0.0000  6 Hg 3.03
Hg: 0.9324 0.9324 0.6911  5 Hg 2.99-3.14, 1 Dy 3.03
Hg: 0.4441 0.9324 0.6911  5 Hg 2.99-3.14, 1 Dy 3.03
Hg: 0.9324 0.4441 0.6911  5 Hg 2.99-3.14, 1 Dy 3.03
Hg: 0.0676 0.0676 0.3089  5 Hg 2.99-3.14, 1 Dy 3.03
Hg: 0.5559 0.0676 0.3089  5 Hg 2.99-3.14, 1 Dy 3.03
Cu: 0.5000 0.5000 0.5000  12 Hg 3.42


# LiZn2Se

An optimized crystal structure of LiZn2Se (PBE-GGA, Alexandria).

## Properties
The raw formation energy is -1.208 eV/f.u. The value obtained for the excess energy over the best structure of this formula in the dataset is 0.106 eV per atom. Its space group is I-42d.

Cell: 8.4047 8.4047 6.4016 Å, 48.97 48.97 90.00°
Last column: nearest neighbours and their distance in Å.
Sites, in units of the cell vectors:
Li: 0.5000 0.5000 0.0000  2 Se 2.38
Li: 0.2500 0.7500 0.5000  2 Se 2.38
Zn: 0.6865 0.1250 0.2500  2 Zn 2.59, 2 Se 2.70
Zn: 0.3750 0.3135 0.7500  2 Zn 2.59, 2 Se 2.70
Zn: 0.8750 0.9365 0.7500  2 Zn 2.59, 2 Se 2.70
Zn: 0.0635 0.6250 0.2500  2 Zn 2.59, 2 Se 2.70
Se: 0.0000 0.0000 0.0000  2 Li 2.38
Se: 0.7500 0.2500 0.5000  2 Li 2.38


# Pa2AlC

An optimized crystal structure of Pa2AlC (PBE-GGA, Alexandria).

## Properties
The value obtained for the formation energy is -0.232 eV per atom. The value obtained for the excess energy over the best structure of this formula in the dataset is 0.000 eV per atom. Its space group is R-3m.

Cell: 3.3636 3.3636 8.3452 Å, 78.37 78.37 60.00°
Last column: nearest neighbours and their distance in Å.
Sites, in units of the cell vectors:
C: 0.5000 0.5000 0.5000  6 Pa 2.46
Pa: 0.7716 0.7716 0.6853  3 C 2.46
Al: 0.0000 0.0000 0.0000  6 Pa 3.21, 6 Al 3.36
Pa: 0.2284 0.2284 0.3147  3 C 2.46


# CaAgRh

An optimized crystal structure of CaAgRh (PBE-GGA, Alexandria).

## Properties
The value obtained for the formation energy is -0.211 eV per atom. The value obtained for the excess energy over the best structure of this formula in the dataset is 0.095 eV per atom. Its space group is C2/m.

Cell: 5.3858 4.5328 11.1689 Å, 90.00 102.72 90.00°
Last column: nearest neighbours and their distance in Å.
Sites, in units of the cell vectors:
Ag: 0.2675 0.0000 0.4191  3 Rh 2.69-2.75, 1 Ag 2.75
Rh: 0.1091 0.5000 0.2845  2 Rh 2.59, 3 Ag 2.69-2.75, 1 Ca 2.73
Rh: 0.1091 0.0000 0.7845  2 Rh 2.59, 3 Ag 2.69-2.75, 1 Ca 2.73
Ag: 0.7325 0.5000 0.0809  3 Rh 2.69-2.75, 1 Ag 2.75
Rh: 0.8909 0.5000 0.7155  2 Rh 2.59, 3 Ag 2.69-2.75, 1 Ca 2.73
Ca: 0.3162 0.5000 0.6203  2 Rh 2.73-3.04
Ca: 0.6838 0.0000 0.8797  2 Rh 2.73-3.04
Ag: 0.7325 0.0000 0.5809  3 Rh 2.69-2.75, 1 Ag 2.75
Ca: 0.3162 0.0000 0.1203  2 Rh 2.73-3.04
Rh: 0.8909 0.0000 0.2155  2 Rh 2.59, 3 Ag 2.69-2.75, 1 Ca 2.73
Ca: 0.6838 0.5000 0.3797  2 Rh 2.73-3.04
Ag: 0.2675 0.5000 0.9191  3 Rh 2.69-2.75, 1 Ag 2.75


# MgSn3Pd12

An optimized crystal structure of MgSn3Pd12 (PBE-GGA, Alexandria).

## Properties
The value obtained for the formation energy is -0.495 eV per atom. Its space group is P4/mmm.

Cell: 4.0285 4.0285 16.0319 Å, 90.00 90.00 90.00°
Last column: nearest neighbours and their distance in Å.
Sites, in units of the cell vectors:
Pd: 0.5000 0.0000 0.3740  8 Pd 2.84-2.85, 4 Sn 2.85-2.87
Pd: 0.5000 0.5000 0.5000  4 Sn 2.85, 8 Pd 2.85
Sn: 0.0000 0.0000 0.7538  12 Pd 2.82-2.87
Pd: 0.5000 0.5000 0.2492  8 Pd 2.84-2.86, 4 Sn 2.85
Pd: 0.5000 0.0000 0.8772  8 Pd 2.82-2.86, 2 Mg 2.82, 2 Sn 2.82
Pd: 0.5000 0.0000 0.6260  8 Pd 2.84-2.85, 4 Sn 2.85-2.87
Pd: 0.5000 0.5000 0.0000  8 Pd 2.82, 4 Mg 2.85
Pd: 0.0000 0.5000 0.3740  8 Pd 2.84-2.85, 4 Sn 2.85-2.87
Mg: 0.0000 0.0000 0.0000  12 Pd 2.82-2.85
Pd: 0.0000 0.5000 0.6260  8 Pd 2.84-2.85, 4 Sn 2.85-2.87
Pd: 0.0000 0.5000 0.1228  2 Mg 2.82, 8 Pd 2.82-2.86, 2 Sn 2.82
Pd: 0.5000 0.5000 0.7508  8 Pd 2.84-2.86, 4 Sn 2.85
Pd: 0.5000 0.0000 0.1228  2 Mg 2.82, 8 Pd 2.82-2.86, 2 Sn 2.82
Pd: 0.0000 0.5000 0.8772  8 Pd 2.82-2.86, 2 Mg 2.82, 2 Sn 2.82
Sn: 0.0000 0.0000 0.5000  12 Pd 2.85
Sn: 0.0000 0.0000 0.2462  12 Pd 2.82-2.87


# Cs4Na3PuF12

An optimized crystal structure of Cs4Na3PuF12 (PBE-GGA, Alexandria).

## Properties
The raw formation energy is -56.299 eV/f.u. Its space group is Im-3m.

Cell: 8.0023 8.0023 8.0023 Å, 109.47 109.47 109.47°
Last column: nearest neighbours and their distance in Å.
Sites, in units of the cell vectors:
F: 0.2281 0.0000 0.2281  1 Pu 2.11
Pu: 0.0000 0.0000 0.0000  6 F 2.11
F: 0.0000 0.2281 0.2281  1 Pu 2.11
Cs: 0.0000 0.5000 0.0000  12 F 3.27
Cs: 0.5000 0.5000 0.5000  12 F 3.27
F: 0.5000 0.2500 0.7500  2 Na 2.31
Na: 0.5000 0.5000 0.0000  6 F 2.31-2.51
Na: 0.5000 0.0000 0.5000  6 F 2.31-2.51
F: 0.2500 0.7500 0.5000  2 Na 2.31
F: 0.0000 0.7719 0.7719  1 Pu 2.11
F: 0.7719 0.7719 0.0000  1 Pu 2.11
Cs: 0.5000 0.0000 0.0000  12 F 3.27
F: 0.7719 0.0000 0.7719  1 Pu 2.11
Cs: 0.0000 0.0000 0.5000  12 F 3.27
F: 0.5000 0.7500 0.2500  2 Na 2.31
F: 0.7500 0.2500 0.5000  2 Na 2.31
F: 0.2500 0.5000 0.7500  2 Na 2.31
F: 0.7500 0.5000 0.2500  2 Na 2.31
F: 0.2281 0.2281 0.0000  1 Pu 2.11
Na: 0.0000 0.5000 0.5000  6 F 2.31-2.51


# Cs2RbCdCl5

An optimized crystal structure of Cs2RbCdCl5 (PBE-GGA, Alexandria).

## Properties
The raw formation energy is -15.060 eV/f.u. Its space group is Immm.

Cell: 5.2549 7.6707 9.4167 Å, 114.03 106.20 90.00°
Last column: nearest neighbours and their distance in Å.
Sites, in units of the cell vectors:
Cl: 0.3838 0.6370 0.7676  1 Cd 2.68
Cl: 0.6162 0.8694 0.2324  1 Cd 2.68
Rb: 0.0000 0.5000 0.0000  10 Cl 3.78-3.84
Cd: 0.5000 0.0000 0.0000  6 Cl 2.63-2.68
Cs: 0.7929 0.7929 0.5858  7 Cl 3.39-3.56
Cl: 0.0000 0.0000 0.0000  2 Cd 2.63
Cl: 0.3838 0.1306 0.7676  1 Cd 2.68
Cs: 0.2071 0.2071 0.4142  7 Cl 3.39-3.56
Cl: 0.6162 0.3630 0.2324  1 Cd 2.68